# PdS3N

A PBEsol-optimized structure of PdS3N (SCAN, Alexandria).

Cell lengths 4.0539, 4.0539, 4.0539 Å; angles 90.00, 90.00, 90.00 degrees
Closest atoms and distances in Å follow each position.
Positions (direct):
S: 0.0000 0.0000 0.5000  2 N 2.03
S: 0.5000 0.0000 0.0000  2 N 2.03
S: 0.0000 0.5000 0.0000  2 N 2.03
N: 0.0000 0.0000 0.0000  6 S 2.03
Pd: 0.5000 0.5000 0.5000  12 S 2.87

Output
The calculation puts the uncorrected formation energy at 1.252 eV/atom.

# Li2LaSi

A PBEsol-optimized structure of Li2LaSi (SCAN, Alexandria).

Cell lengths 4.8893, 4.8893, 4.8893 Å; angles 60.00, 60.00, 60.00 degrees
Closest atoms and distances in Å follow each position.
Positions (direct):
Si: 0.2500 0.2500 0.2500  4 La 2.99, 4 Li 2.99
La: 0.5000 0.5000 0.5000  4 Li 2.99, 4 Si 2.99
Li: 0.7500 0.7500 0.7500  4 La 2.99, 4 Li 2.99
Li: 0.0000 0.0000 0.0000  4 Li 2.99, 4 Si 2.99

Output
The calculation puts the uncorrected formation energy at -0.301 eV/atom.

# SrYTe2

A PBEsol-optimized structure of SrYTe2 (SCAN, Alexandria).

Cell lengths 4.3244, 4.3244, 8.2206 Å; angles 74.75, 74.75, 60.00 degrees
Closest atoms and distances in Å follow each position.
Positions (direct):
Te: 0.8265 0.8265 0.5204  3 Y 3.04, 3 Sr 3.23
Te: 0.0075 0.0075 0.9776  3 Y 3.10, 3 Sr 3.33
Sr: 0.2469 0.2469 0.2594  6 Te 3.23-3.33
Y: 0.4191 0.4191 0.7426  6 Te 3.04-3.10

Output
The calculation puts the uncorrected formation energy at -1.617 eV/atom.

# YMg2Os

A PBEsol-optimized structure of YMg2Os (SCAN, Alexandria).

Cell lengths 4.7795, 4.7794, 4.7795 Å; angles 60.00, 90.00, 120.00 degrees
Closest atoms and distances in Å follow each position.
Positions (direct):
Os: 0.0000 0.0000 0.0000  4 Y 2.93, 4 Mg 2.93
Mg: 0.5000 0.0000 0.5000  4 Mg 2.93, 4 Y 2.93
Mg: 0.2500 0.5000 0.2500  4 Os 2.93, 4 Mg 2.93
Y: 0.7500 0.5000 0.7500  4 Os 2.93, 4 Mg 2.93

Output
The energy of formation from the pure elements is 0.0 eV per formula unit.

| no. | V (Å³/cell) |
| --- | --- |
| 1 | 66.6 |
| 2 | 82.6 |
| 3 | 126.8 |
| 4 | 77.2 |